CsS8 PBE-GGA optimized geometry; DOS(E_F) = 3.0 states/eV/cell; crystal system = triclinic; size of the total moment = 0.00 μB/cell; electronic total energy = -0.2769 Ry/atom
1.0
4.518 0.000 0.000
1.426 6.406 0.000
0.849 -0.184 8.533
Cs S
1 8
Cartesian
0.000 0.000 0.000
1.003 2.421 2.962
2.104 4.140 3.699
2.129 2.816 0.385
3.629 5.971 5.043
3.164 0.251 3.490
4.664 3.406 8.147
4.689 2.082 4.834
5.790 3.801 5.571